{
  "formula": "CrSb3P6O24",
  "functional": "PBE with a Hubbard U",
  "state": "relaxed",
  "lattice": [[4.2055, 2.4280, 7.4960], [-4.2055, 2.4280, 7.4960], [0.0000, -4.8560, 7.4960]],
  "species": ["Cr", "Sb", "Sb", "Sb", "P", "P", "P", "P", "P", "P", "O", "O", "O", "O", "O", "O", "O", "O", "O", "O", "O", "O", "O", "O", "O", "O", "O", "O", "O", "O", "O", "O", "O", "O"],
  "fractional_positions": [[0.0000, 0.0000, 0.0000], [0.2971, 0.2971, 0.2971], [0.5052, 0.5052, 0.5052], [0.7917, 0.7917, 0.7917], [0.1097, 0.6856, 0.3966], [0.1864, 0.6167, 0.8972], [0.3966, 0.1097, 0.6856], [0.6167, 0.8972, 0.1864], [0.6856, 0.3966, 0.1097], [0.8972, 0.1864, 0.6167], [0.0300, 0.6300, 0.8560], [0.1064, 0.1662, 0.4633], [0.1259, 0.4839, 0.4341], [0.1326, 0.8248, 0.1927], [0.1662, 0.4633, 0.1064], [0.1682, 0.8078, 0.8694], [0.1927, 0.1326, 0.8248], [0.2606, 0.6560, 0.4568], [0.3883, 0.5269, 0.7594], [0.4341, 0.1259, 0.4839], [0.4568, 0.2606, 0.6560], [0.4633, 0.1064, 0.1662], [0.4839, 0.4341, 0.1259], [0.5269, 0.7594, 0.3883], [0.5423, 0.9075, 0.7610], [0.6300, 0.8560, 0.0300], [0.6560, 0.4568, 0.2606], [0.7594, 0.3883, 0.5269], [0.7610, 0.5423, 0.9075], [0.8078, 0.8694, 0.1682], [0.8248, 0.1927, 0.1326], [0.8560, 0.0300, 0.6300], [0.8694, 0.1682, 0.8078], [0.9075, 0.7610, 0.5423]],
  "dft_energy_ha_per_atom": -0.2555,
  "spacegroup": "R3 (146)",
  "n_ef_per_ev_atom": 0.00,
  "m_tot_mub_per_fu": 2.996
}